1.
VASP calculation (GGA-PBE) on an optimized crystal structure of Tl2SbMo.

Geometry as CIF:
```
data_Tl2SbMo
_cell_length_a 3.323
_cell_length_b 3.323
_cell_length_c 9.065
_cell_angle_alpha 90.00
_cell_angle_beta 90.00
_cell_angle_gamma 90.00
_symmetry_space_group_name_H-M 'P 4 m m'
_symmetry_Int_Tables_number 99
_symmetry_space_group_name_Hall 'P 4 -2'
loop_
_atom_site_label
_atom_site_fract_x
_atom_site_fract_y
_atom_site_fract_z
Tl1 0.000 0.000 0.000
Tl2 0.500 0.500 0.300
Sb1 0.500 0.500 0.685
Mo1 0.000 0.000 0.518
```

Summary:
Calculated total energy: -4.607 eV per atom
Excess energy over the best structure of this formula in the dataset: 0.006 eV/atom
Uncorrected formation energy: 0.315 eV/atom

2.
VASP calculation (GGA-PBE) on an optimized crystal structure of SrLi4ZnPb2.

Geometry as CIF:
```
data_SrLi4ZnPb2
_cell_length_a 4.7911
_cell_length_b 4.7911
_cell_length_c 27.1965
_cell_angle_alpha 90.00
_cell_angle_beta 90.00
_cell_angle_gamma 120.00
_symmetry_space_group_name_H-M 'R -3 m'
_symmetry_Int_Tables_number 166
_symmetry_space_group_name_Hall '-R 3 2"'
loop_
_atom_site_label
_atom_site_fract_x
_atom_site_fract_y
_atom_site_fract_z
Sr1 0.0000 0.0000 0.0000
Li1 0.0000 0.0000 0.1351
Li2 0.0000 0.0000 0.4074
Zn1 0.0000 0.0000 0.5000
Pb1 0.0000 0.0000 0.2471
```

Summary:
ΔE_f: -2.249 eV per formula unit
Calculated total energy: -2.535 eV per atom

3.
VASP calculation (GGA-PBE) on an optimized crystal structure of LiZnSbAu.

Geometry as CIF:
```
data_LiZnSbAu
_cell_length_a 6.670
_cell_length_b 6.670
_cell_length_c 6.670
_cell_angle_alpha 90.00
_cell_angle_beta 90.00
_cell_angle_gamma 90.00
_symmetry_space_group_name_H-M 'F -4 3 m'
_symmetry_Int_Tables_number 216
_symmetry_space_group_name_Hall 'F -4 2 3'
loop_
_atom_site_label
_atom_site_fract_x
_atom_site_fract_y
_atom_site_fract_z
Li1 0.000 0.000 0.000
Zn1 0.000 0.000 0.500
Sb1 0.250 0.250 0.250
Au1 0.250 0.250 0.750
```

Summary:
Calculated total energy: -2.838 eV per atom
Uncorrected formation energy: -0.191 eV/atom

4.
VASP calculation (GGA-PBE) on an optimized crystal structure of InNiHg2.

Geometry as CIF:
```
data_InNiHg2
_cell_length_a 13.854
_cell_length_b 2.974
_cell_length_c 4.372
_cell_angle_alpha 90.00
_cell_angle_beta 108.33
_cell_angle_gamma 90.00
_symmetry_space_group_name_H-M 'C 1 2/m 1'
_symmetry_Int_Tables_number 12
_symmetry_space_group_name_Hall '-C 2y'
loop_
_atom_site_label
_atom_site_fract_x
_atom_site_fract_y
_atom_site_fract_z
In1 0.000 0.000 0.000
Ni1 0.000 0.500 0.500
Hg1 0.180 0.000 0.681
```

Summary:
ΔE_f: 0.174 eV per formula unit
Calculated total energy: -2.237 eV per atom

5.
VASP calculation (GGA-PBE) on an optimized crystal structure of CrSbAs2.

Geometry as CIF:
```
data_CrSbAs2
_cell_length_a 3.185
_cell_length_b 3.185
_cell_length_c 7.640
_cell_angle_alpha 90.00
_cell_angle_beta 90.00
_cell_angle_gamma 90.00
_symmetry_space_group_name_H-M 'P 4 m m'
_symmetry_Int_Tables_number 99
_symmetry_space_group_name_Hall 'P 4 -2'
loop_
_atom_site_label
_atom_site_fract_x
_atom_site_fract_y
_atom_site_fract_z
Cr1 0.000 0.000 0.000
Sb1 0.500 0.500 0.246
As1 0.000 0.000 0.647
As2 0.500 0.500 0.858
```

Summary:
Calculated total energy: -5.579 eV per atom
Uncorrected formation energy: 0.182 eV/atom

6.
VASP calculation (GGA-PBE) on an optimized crystal structure of LaTb9Sm2.

Geometry as CIF:
```
data_LaTb9Sm2
_cell_length_a 5.074
_cell_length_b 5.074
_cell_length_c 15.232
_cell_angle_alpha 90.00
_cell_angle_beta 90.00
_cell_angle_gamma 90.00
_symmetry_space_group_name_H-M 'P 4/m m m'
_symmetry_Int_Tables_number 123
_symmetry_space_group_name_Hall '-P 4 2'
loop_
_atom_site_label
_atom_site_fract_x
_atom_site_fract_y
_atom_site_fract_z
La1 0.000 0.000 0.000
Tb1 0.000 0.500 0.169
Tb2 0.000 0.500 0.500
Tb3 0.500 0.500 0.000
Tb4 0.500 0.500 0.335
Sm1 0.000 0.000 0.334
```

Summary:
ΔE_f: 0.256 eV per formula unit
Calculated total energy: -4.649 eV per atom
Excess energy over the best structure of this formula in the dataset: 0.000 eV/atom